[1]
Ac2TlAu8, optimized geometry, DFT PBE; density of states at the Fermi level = 0.311 states/eV/atom; magnetic moment = 0.000 μB/cell; formation enthalpy at 0 K = -467 meV per atom
1.0
4.005 -7.977 0.000
4.005 7.977 0.000
-3.375 0.000 4.216
Ac Tl Au
2 1 8
Cartesian
4.005 5.041 0.000
4.005 -5.041 0.000
2.317 0.000 2.108
-2.481 0.000 3.193
-0.340 2.042 3.182
2.317 3.149 2.108
-0.340 -2.042 3.182
4.974 2.042 1.034
2.317 -3.149 2.108
4.974 -2.042 1.034
7.115 0.000 1.023

=====

[2]
Ac2Tl3Au4, optimized geometry, DFT PBE; density of states at the Fermi level = 0.527 states/eV/atom; magnetic moment = 0.000 μB/cell; formation enthalpy at 0 K = -422 meV per atom
1.0
3.277 -8.345 0.000
3.277 8.345 0.000
0.000 0.000 8.810
Ac Tl Au
4 6 8
Cartesian
3.277 6.372 8.075
3.277 1.974 3.670
3.277 -1.974 5.140
3.277 -6.372 0.735
0.000 0.000 4.405
1.639 3.433 6.608
1.639 -3.433 2.203
3.277 0.000 0.000
4.916 3.433 6.608
4.916 -3.433 2.203
3.277 5.285 4.870
1.639 0.519 6.608
1.639 -0.519 2.203
3.277 3.060 0.465
3.277 -3.060 8.345
4.916 0.519 6.608
4.916 -0.519 2.203
3.277 -5.285 3.940

=====

[3]
Ac3Tl2Au2, optimized geometry, DFT PBE; density of states at the Fermi level = 1.005 states/eV/atom; magnetic moment = 0.000 μB/cell; formation enthalpy at 0 K = -592 meV per atom
1.0
2.273 -12.140 0.000
2.273 12.140 0.000
0.000 0.000 4.023
Ac Tl Au
3 2 2
Cartesian
0.000 0.000 0.000
2.273 8.048 0.000
2.273 -8.048 0.000
2.273 1.983 2.012
2.273 -1.983 2.012
2.273 5.189 2.012
2.273 -5.189 2.012